Entry 1:
Computed, not measured: a geometry-optimized CuTeO4 structure at the PBE-GGA level of DFT.

The structure belongs to space group Imma (No. 74); the cell edges are 5.697, 6.008 and 9.800 Å and the angles 90.00°, 90.00° and 90.00°. The distinct sites, in fractional coordinates, are Cu at (0.250, 0.250, 0.250), Te at (0.000, 0.000, 0.000), O at (0.000, 0.032, 0.198) and O at (0.232, 0.250, 0.989).

The calculation puts the formation energy (no corrections) at -678 meV per atom.


Entry 2:
Computed, not measured: a geometry-optimized Cs2BeCl4 structure at the PBE-GGA level of DFT.

The structure belongs to space group P2_1/m (No. 11); the cell edges are 7.243, 7.130 and 10.078 Å and the angles 90.00°, 105.08° and 90.00°. The distinct sites, in fractional coordinates, are Cs at (0.211, 0.250, 0.439), Cs at (0.282, 0.250, 0.965), Be at (0.314, 0.750, 0.223), Cl at (0.110, 0.750, 0.331), Cl at (0.194, 0.750, 0.015) and Cl at (0.486, 0.519, 0.272).

The calculation puts the formation energy (no corrections) at -1828 meV per atom. The density of states at the Fermi level is 0.00 states/eV per cell. For the energy above the most stable polymorph in this dataset, the calculation gives 0.07 eV per formula unit.


Entry 3:
Computed, not measured: a geometry-optimized Co3SiNi structure at the PBE-GGA level of DFT.

The structure belongs to space group Pm-3m (No. 221); the cell edges are 4.223, 4.223 and 4.223 Å and the angles 90.00°, 90.00° and 90.00°. The distinct sites, in fractional coordinates, are Co at (0.000, 0.000, 0.500), Si at (0.500, 0.500, 0.500) and Ni at (0.000, 0.000, 0.000).

The calculation puts the formation energy (no corrections) at 1127 meV per atom. The density of states at the Fermi level is 7.06 states/eV per cell. For the energy above the most stable polymorph in this dataset, the calculation gives 1.69 eV per formula unit.


Entry 4:
Computed, not measured: a geometry-optimized AgAsAu structure at the PBE-GGA level of DFT.

The structure belongs to space group P-6m2 (No. 187); the cell edges are 4.6584, 4.6584 and 3.0178 Å and the angles 90.00°, 90.00° and 120.00°. The distinct sites, in fractional coordinates, are Ag at (0.0000, 0.0000, 0.0000), As at (0.3333, 0.6667, 0.5000) and Au at (0.6667, 0.3333, 0.5000).

The value obtained for the formation enthalpy at 0 K is 0.462 eV/f.u. The density of states at the Fermi level is 2.21 states/eV per cell. For the energy above the most stable polymorph in this dataset, the calculation gives 0.09 eV per formula unit.


Entry 5:
Computed, not measured: a geometry-optimized NiPd2Pt3 structure at the PBE-GGA level of DFT.

The structure belongs to space group Pnnm (No. 58); the cell edges are 5.277, 7.727 and 4.513 Å and the angles 90.00°, 90.00° and 90.00°. The distinct sites, in fractional coordinates, are Ni at (0.000, 0.000, 0.000), Pd at (0.164, 0.316, 0.000), Pt at (0.000, 0.500, 0.500) and Pt at (0.168, 0.139, 0.500).

The value obtained for the formation enthalpy at 0 K is 0.806 eV/f.u. The density of states at the Fermi level is 19.97 states/eV per cell. For the energy above the most stable polymorph in this dataset, the calculation gives 0.96 eV per formula unit.


Entry 6:
Computed, not measured: a geometry-optimized Pm4S5Br structure at the PBE-GGA level of DFT.

The structure belongs to space group Pmmn (No. 59, origin choice 2); the cell edges are 8.642, 9.934 and 6.886 Å and the angles 90.00°, 90.00° and 90.00°. The distinct sites, in fractional coordinates, are Pm at (0.024, 0.250, 0.014), Pm at (0.250, 0.023, 0.511), S at (0.010, 0.549, 0.248), S at (0.250, 0.250, 0.292) and Br at (0.250, 0.750, 0.710).

The calculation puts the formation energy (no corrections) at -1799 meV per atom. The density of states at the Fermi level is 1.75 states/eV per cell.


Entry 7:
Computed, not measured: a geometry-optimized TeAs2 structure at the PBE-GGA level of DFT.

The structure belongs to space group I4/mcm (No. 140); the cell edges are 6.091, 6.091 and 7.897 Å and the angles 90.00°, 90.00° and 90.00°. The distinct sites, in fractional coordinates, are Te at (0.000, 0.000, 0.250) and As at (0.145, 0.355, 0.000).

The calculation puts the formation energy (no corrections) at 308 meV per atom. The density of states at the Fermi level is 6.99 states/eV per cell.


Entry 8:
Computed, not measured: a geometry-optimized Mg2ScAg6 structure at the PBE-GGA level of DFT.

The structure belongs to space group C2/c (No. 15); the cell edges are 13.597, 9.890 and 5.043 Å and the angles 90.00°, 98.81° and 90.00°. The distinct sites, in fractional coordinates, are Mg at (0.168, 0.129, 0.088), Sc at (0.000, 0.374, 0.250), Ag at (0.058, 0.120, 0.531), Ag at (0.112, 0.375, 0.801) and Ag at (0.224, 0.376, 0.357).

The value obtained for the formation enthalpy at 0 K is -1.462 eV/f.u. The density of states at the Fermi level is 17.84 states/eV per cell.


| no. | V (Å³/cell) |
| --- | --- |
| 1 | 335 |
| 2 | 503 |
| 3 | 75 |
| 4 | 57 |
| 5 | 184 |
| 6 | 591 |
| 7 | 293 |
| 8 | 670 |